[1]
A relaxed CaAcSb2Au2 crystal, computed with PBE.

Cell and atoms, written as extended XYZ:
```
6
Lattice="4.7239 0.0000 0.0000 -2.3620 4.0910 0.0000 0.0000 0.0000 8.6281" Properties=species:S:1:pos:R:3 pbc="T T T"
Ca 0.0000 0.0000 0.0000
Ac 0.0000 0.0000 4.3140
Sb 0.0000 2.7274 6.6745
Sb 2.3620 1.3637 1.9535
Au 0.0000 2.7274 2.3120
Au 2.3620 1.3637 6.3160
```

Calculated values
The uncorrected formation energy is -858 meV per atom.


[2]
A relaxed TePtPb2 crystal, computed with PBE.

Cell and atoms, written as extended XYZ:
```
4
Lattice="4.3189 0.0000 0.0000 0.0000 4.1902 0.0000 -2.1497 0.0000 6.0427" Properties=species:S:1:pos:R:3 pbc="T T T"
Te 0.0000 0.0000 0.0000
Pt 0.0146 2.0951 1.9755
Pb 0.0131 2.0951 4.7779
Pb 2.1683 0.0000 2.5920
```

Calculated values
The uncorrected formation energy is -139 meV per atom.


[3]
A relaxed Ba2CoMo crystal, computed with PBE.

Cell and atoms, written as extended XYZ:
```
4
Lattice="3.3036 0.0000 0.0000 0.0000 3.3036 0.0000 0.0000 0.0000 9.8130" Properties=species:S:1:pos:R:3 pbc="T T T"
Ba 0.0000 0.0000 2.2797
Ba 0.0000 0.0000 7.5333
Co 1.6518 1.6518 0.0000
Mo 1.6518 1.6518 4.9065
```

Calculated values
The distance to the lowest polymorph of the same formula comes out at 2.58 eV/f.u.